Density functional theory data (PBE) for crystalline SeBr2Cl at its relaxed geometry.

```
data_SeBr2Cl
_cell_length_a 4.716
_cell_length_b 4.716
_cell_length_c 8.284
_cell_angle_alpha 90.00
_cell_angle_beta 90.00
_cell_angle_gamma 90.00
_symmetry_space_group_name_H-M 'I -4 m 2'
_symmetry_Int_Tables_number 119
_symmetry_space_group_name_Hall 'I -4 -2'
loop_
_atom_site_label
_atom_site_fract_x
_atom_site_fract_y
_atom_site_fract_z
Se1 0.000 0.000 0.000
Br1 0.000 0.000 0.500
Br2 0.000 0.500 0.750
Cl1 0.000 0.500 0.250
```

Final energy (eV for the cell shown): -11.85
Formation energy (no corrections) (eV/atom): 0.688


Density functional theory data (PBE) for crystalline SeBr2Cl at its relaxed geometry.

```
data_SeBr2Cl
_cell_length_a 4.1718
_cell_length_b 4.1718
_cell_length_c 22.7964
_cell_angle_alpha 90.00
_cell_angle_beta 90.00
_cell_angle_gamma 120.00
_symmetry_space_group_name_H-M 'R 3 m'
_symmetry_Int_Tables_number 160
_symmetry_space_group_name_Hall 'R 3 -2"'
loop_
_atom_site_label
_atom_site_fract_x
_atom_site_fract_y
_atom_site_fract_z
Se1 0.0000 0.0000 0.0000
Br1 0.0000 0.0000 0.4796
Br2 0.0000 0.0000 0.7274
Cl1 0.0000 0.0000 0.2761
```

Final energy (eV for the cell shown): -22.21
Formation energy (no corrections) (eV/atom): 0.318


Density functional theory data (PBE) for crystalline SeBrCl2 at its relaxed geometry.

```
data_SeBrCl2
_cell_length_a 3.6261
_cell_length_b 3.6261
_cell_length_c 27.1833
_cell_angle_alpha 90.00
_cell_angle_beta 90.00
_cell_angle_gamma 120.00
_symmetry_space_group_name_H-M 'R -3 m'
_symmetry_Int_Tables_number 166
_symmetry_space_group_name_Hall '-R 3 2"'
loop_
_atom_site_label
_atom_site_fract_x
_atom_site_fract_y
_atom_site_fract_z
Se1 0.0000 0.0000 0.0000
Br1 0.0000 0.0000 0.5000
Cl1 0.0000 0.0000 0.4103
```

Final energy (eV for the cell shown): -21.61
Formation energy (no corrections) (eV/atom): 0.412


Density functional theory data (PBE) for crystalline Se2BrCl at its relaxed geometry.

```
data_Se2BrCl
_cell_length_a 7.596
_cell_length_b 7.692
_cell_length_c 4.457
_cell_angle_alpha 90.00
_cell_angle_beta 112.02
_cell_angle_gamma 90.00
_symmetry_space_group_name_H-M 'C 1 2/m 1'
_symmetry_Int_Tables_number 12
_symmetry_space_group_name_Hall '-C 2y'
loop_
_atom_site_label
_atom_site_fract_x
_atom_site_fract_y
_atom_site_fract_z
Se1 0.250 0.250 0.000
Br1 0.000 0.000 0.000
Cl1 0.000 0.500 0.000
```

Final energy (eV for the cell shown): -17.70
Formation energy (no corrections) (eV/atom): 0.410


Density functional theory data (PBE) for crystalline Se2BrCl at its relaxed geometry.

```
data_Se2BrCl
_cell_length_a 3.909
_cell_length_b 3.909
_cell_length_c 6.809
_cell_angle_alpha 90.00
_cell_angle_beta 90.00
_cell_angle_gamma 90.00
_symmetry_space_group_name_H-M 'P 4/m m m'
_symmetry_Int_Tables_number 123
_symmetry_space_group_name_Hall '-P 4 2'
loop_
_atom_site_label
_atom_site_fract_x
_atom_site_fract_y
_atom_site_fract_z
Se1 0.000 0.000 0.174
Br1 0.500 0.500 0.000
Cl1 0.500 0.500 0.500
```

Final energy (eV for the cell shown): -8.28
Formation energy (no corrections) (eV/atom): 0.553


Density functional theory data (PBE) for crystalline SeBrCl2 at its relaxed geometry.

```
data_SeBrCl2
_cell_length_a 6.465
_cell_length_b 4.496
_cell_length_c 8.951
_cell_angle_alpha 90.00
_cell_angle_beta 107.98
_cell_angle_gamma 90.00
_symmetry_space_group_name_H-M 'C 1 2/m 1'
_symmetry_Int_Tables_number 12
_symmetry_space_group_name_Hall '-C 2y'
loop_
_atom_site_label
_atom_site_fract_x
_atom_site_fract_y
_atom_site_fract_z
Se1 0.000 0.000 0.000
Br1 0.000 0.500 0.500
Cl1 0.216 0.000 0.838
```

Final energy (eV for the cell shown): -15.99
Formation energy (no corrections) (eV/atom): 0.213


Density functional theory data (PBE) for crystalline Se2BrCl at its relaxed geometry.

```
data_Se2BrCl
_cell_length_a 3.3437
_cell_length_b 3.3437
_cell_length_c 28.8508
_cell_angle_alpha 90.00
_cell_angle_beta 90.00
_cell_angle_gamma 120.00
_symmetry_space_group_name_H-M 'R -3 m'
_symmetry_Int_Tables_number 166
_symmetry_space_group_name_Hall '-R 3 2"'
loop_
_atom_site_label
_atom_site_fract_x
_atom_site_fract_y
_atom_site_fract_z
Se1 0.0000 0.0000 0.0883
Br1 0.0000 0.0000 0.0000
Cl1 0.0000 0.0000 0.5000
```

Final energy (eV for the cell shown): -26.05
Formation energy (no corrections) (eV/atom): 0.451


Density functional theory data (PBE) for crystalline Se2BrCl at its relaxed geometry.

```
data_Se2BrCl
_cell_length_a 5.097
_cell_length_b 7.884
_cell_length_c 8.884
_cell_angle_alpha 65.91
_cell_angle_beta 89.31
_cell_angle_gamma 89.27
_symmetry_space_group_name_H-M 'P 1'
_symmetry_Int_Tables_number 1
_symmetry_space_group_name_Hall 'P 1'
loop_
_atom_site_label
_atom_site_fract_x
_atom_site_fract_y
_atom_site_fract_z
Se1 0.000 0.000 0.000
Se2 0.174 0.008 0.489
Se3 0.352 0.267 0.303
Se4 0.824 0.261 0.809
Br1 0.065 0.518 0.816
Br2 0.404 0.937 0.754
Cl1 0.124 0.506 0.314
Cl2 0.780 0.953 0.243
```

Final energy (eV for the cell shown): -22.07
Formation energy (no corrections) (eV/atom): -0.136